# 1
5
Lattice="4.867 0.000 0.000 0.000 4.867 0.000 0.000 0.000 4.790" Properties=species:S:1:pos:R:3 comment="TiNb2AsCl, relaxed, DFT PBE" formation_energy_uncorrected_ev_per_fu=3.93 spacegroup=P4/mmm volume_a3_per_atom=22.69 rho_g_cm3=5.0 pbc="T T T"
Ti 0.000 0.000 0.000
Nb 0.000 2.434 2.395
Nb 2.434 0.000 2.395
As 0.000 0.000 2.395
Cl 2.434 2.434 0.000



# 2
12
Lattice="4.967 0.000 0.000 -2.483 4.301 0.000 0.000 0.000 14.747" Properties=species:S:1:pos:R:3 comment="SmAgSb2, relaxed, DFT PBE" formation_energy_uncorrected_ev_per_fu=-1.36 spacegroup=R-3m volume_a3_per_atom=26.25 rho_g_cm3=7.9 pbc="T T T"
Sm 0.000 0.000 0.000
Sm 0.000 2.868 9.831
Sm 2.483 1.434 4.916
Ag 0.000 0.000 7.373
Ag 0.000 2.868 2.458
Ag 2.483 1.434 12.289
Sb 0.000 0.000 3.351
Sb 0.000 0.000 11.396
Sb 0.000 2.868 6.481
Sb 0.000 2.868 13.182
Sb 2.483 1.434 1.565
Sb 2.483 1.434 8.266



# 3
5
Lattice="5.436 0.000 0.000 0.000 5.436 0.000 0.000 0.000 4.809" Properties=species:S:1:pos:R:3 comment="Ca2TlNiSn, relaxed, DFT PBE" spacegroup=P4/mmm formation_enthalpy_0k_kj_per_mol_atoms=-30.2 volume_a3_per_atom=28.42 rho_g_cm3=5.4 pbc="T T T"
Ca 0.000 2.718 0.000
Ca 2.718 0.000 0.000
Tl 0.000 0.000 2.404
Ni 2.718 2.718 0.000
Sn 2.718 2.718 2.404



# 4
16
Lattice="5.150 0.000 0.000 0.000 5.150 0.000 0.000 0.000 20.561" Properties=species:S:1:pos:R:3 comment="Pm12PrY3, relaxed, DFT PBE" spacegroup=P4/mmm formation_enthalpy_0k_kj_per_mol_atoms=1.4 volume_a3_per_atom=34.08 rho_g_cm3=6.5 pbc="T T T"
Pm 0.000 0.000 0.000
Pm 0.000 0.000 5.103
Pm 0.000 0.000 10.280
Pm 0.000 0.000 15.458
Pm 0.000 2.575 2.558
Pm 0.000 2.575 7.677
Pm 0.000 2.575 12.884
Pm 0.000 2.575 18.002
Pm 2.575 0.000 2.558
Pm 2.575 0.000 7.677
Pm 2.575 0.000 12.884
Pm 2.575 0.000 18.002
Pr 2.575 2.575 10.280
Y 2.575 2.575 0.000
Y 2.575 2.575 5.114
Y 2.575 2.575 15.447



# 5
7
Lattice="2.319 1.339 7.802 -2.319 1.339 7.802 0.000 -2.678 7.802" Properties=species:S:1:pos:R:3 comment="Mg4Ag2Ge, relaxed, DFT PBE" spacegroup=R-3m formation_enthalpy_0k_kj_per_mol_atoms=-11.1 volume_a3_per_atom=20.77 rho_g_cm3=4.4 pbc="T T T"
Mg 0.000 0.000 2.836
Mg 0.000 0.000 8.690
Mg 0.000 0.000 14.716
Mg 0.000 0.000 20.570
Ag 0.000 0.000 5.892
Ag 0.000 0.000 17.515
Ge 0.000 0.000 11.703



# 6
6
Lattice="0.000 3.268 3.268 3.268 0.000 3.268 3.268 3.268 0.000" Properties=species:S:1:pos:R:3 comment="Mn4FeTc, relaxed, DFT PBE" spacegroup=F-43m formation_enthalpy_0k_kj_per_mol_atoms=6.8 volume_a3_per_atom=11.64 rho_g_cm3=8.9 pbc="T T T"
Mn 2.460 2.460 2.460
Mn 4.076 4.076 2.460
Mn 4.076 2.460 4.076
Mn 2.460 4.076 4.076
Fe 4.902 4.902 4.902
Tc 0.000 0.000 0.000



# 7
16
Lattice="4.548 2.626 8.914 -4.548 2.626 8.914 0.000 -5.252 8.914" Properties=species:S:1:pos:R:3 comment="Cs4Y3ErTe8, relaxed, DFT PBE" formation_energy_uncorrected_ev_per_fu=-22.31 spacegroup=R-3m volume_a3_per_atom=39.93 rho_g_cm3=5.2 pbc="T T T"
Cs 0.000 0.000 0.000
Cs -2.274 -1.313 8.914
Cs -2.274 1.313 17.828
Cs 0.000 2.626 8.914
Y -4.548 0.000 13.371
Y -2.274 1.313 4.457
Y 2.274 1.313 4.457
Er 0.000 0.000 13.371
Te 0.000 0.000 6.153
Te -2.260 -1.305 15.059
Te 0.000 -2.610 11.683
Te -2.260 1.305 11.683
Te 2.260 -1.305 15.059
Te 0.000 2.610 15.059
Te 2.260 1.305 11.683
Te 0.000 0.000 20.590



# 8
5
Lattice="4.635 0.000 0.000 0.000 4.635 0.000 0.000 0.000 3.740" Properties=species:S:1:pos:R:3 comment="MgTiTc2C, relaxed, DFT PBE" spacegroup=P4/mmm formation_enthalpy_0k_kj_per_mol_atoms=189.2 volume_a3_per_atom=16.07 rho_g_cm3=5.8 pbc="T T T"
Mg 0.000 0.000 0.000
Ti 2.318 2.318 1.870
Tc 0.000 2.318 0.000
Tc 2.318 0.000 0.000
C 0.000 0.000 1.870



# 9
12
Lattice="7.067 0.000 0.000 0.124 7.398 0.000 0.039 0.031 9.599" Properties=species:S:1:pos:R:3 comment="CsLaPb2Br8, relaxed, DFT PBE" formation_energy_uncorrected_ev_per_fu=-16.71 spacegroup=P-1 volume_a3_per_atom=41.83 rho_g_cm3=4.4 pbc="T T T"
Cs 0.000 0.000 0.000
La 0.020 0.015 4.800
Pb 3.602 3.706 2.377
Pb 3.628 3.722 7.222
Br 1.829 2.429 4.797
Br 1.919 6.226 6.826
Br 1.912 6.224 2.767
Br 1.957 2.901 0.014
Br 5.273 4.528 9.585
Br 5.319 1.205 6.832
Br 5.312 1.202 2.773
Br 5.402 5.000 4.802



# 10
8
Lattice="5.328 0.000 0.000 0.000 8.496 0.000 -0.142 0.000 2.674" Properties=species:S:1:pos:R:3 comment="NiAgW2, relaxed, DFT PBE" spacegroup=C2/m formation_enthalpy_0k_kj_per_mol_atoms=48.9 volume_a3_per_atom=15.13 rho_g_cm3=14.7 pbc="T T T"
Ni 0.000 0.000 0.000
Ni 2.664 4.248 0.000
Ag 0.000 4.248 0.000
Ag 2.664 0.000 0.000
W 1.261 2.124 1.337
W 1.261 6.372 1.337
W 3.925 2.124 1.337
W 3.925 6.372 1.337



# 11
5
Lattice="5.342 0.000 0.000 0.000 5.342 0.000 0.000 0.000 4.972" Properties=species:S:1:pos:R:3 comment="Ga2AgAuCl, relaxed, DFT PBE" formation_energy_uncorrected_ev_per_fu=2.53 spacegroup=P4/mmm volume_a3_per_atom=28.38 rho_g_cm3=5.6 pbc="T T T"
Ga 0.000 2.671 0.000
Ga 2.671 0.000 0.000
Ag 0.000 0.000 2.486
Au 2.671 2.671 2.486
Cl 2.671 2.671 0.000



# 12
12
Lattice="10.146 0.000 0.000 0.000 4.514 0.000 -3.339 0.000 10.086" Properties=species:S:1:pos:R:3 comment="RbMnSbTe3, relaxed, DFT PBE" formation_energy_uncorrected_ev_per_fu=-2.42 spacegroup=P2_1/m volume_a3_per_atom=38.50 rho_g_cm3=4.6 pbc="T T T"
Rb 1.206 1.129 2.416
Rb 5.601 3.386 7.670
Mn -1.178 1.129 6.104
Mn 7.985 3.386 3.982
Sb 0.508 3.386 8.766
Sb 6.299 1.129 1.320
Te -1.633 1.129 8.774
Te 0.275 3.386 5.360
Te 4.145 3.386 1.577
Te 2.662 1.129 8.509
Te 6.532 1.129 4.726
Te 8.440 3.386 1.312